Entry 1:
Density functional theory data (GGA-PBE) for a relaxed CeZrPa2 crystal.

Cell lengths 5.1837, 5.1837, 5.1837 Å; angles 60.00, 60.00, 60.00 degrees
Sites, in units of the cell vectors:
Pa 0.2500 0.2500 0.2500
Pa 0.7500 0.7500 0.7500
Zr 0.5000 0.5000 0.5000
Ce 0.0000 0.0000 0.0000

## Properties
Uncorrected energy ... -32.47 eV per cell
Density of states at the Fermi level ... 9.6 states/eV/f.u.
Space group ... Fm-3m, No. 225
Calculated formation energy ... 24.26 kJ/mol of atoms
Size of the total moment ... 0.0 μB per formula unit
ΔE to the lowest computed polymorph ... 72 kJ/mol of formula units



Entry 2:
Density functional theory data (GGA-PBE) for a relaxed Y2PBr crystal.

Cell lengths 7.3307, 7.3307, 7.3307 Å; angles 150.07, 149.44, 43.30 degrees
Last column: magnetic moment on the atom in μB.
Sites, in units of the cell vectors:
Br 0.4561 0.4561 0.0000  0.01
P 0.2079 0.7079 0.5000  -0.02
Y 0.0596 0.0596 0.0000  0.35
Y 0.7764 0.2764 0.5000  0.29

## Properties
Uncorrected energy ... -24.91 eV per cell
Density of states at the Fermi level ... 2.8 states/eV/f.u.
Space group ... Imm2, No. 44
Size of the total moment ... 1.4 μB per formula unit



Entry 3:
Density functional theory data (GGA-PBE) for a relaxed Cr2CoCN crystal.

Cell lengths 4.5797, 3.2899, 4.5797 Å; angles 90.00, 90.00, 90.00 degrees
Last column: magnetic moment on the atom in μB.
Sites, in units of the cell vectors:
Cr 0.0000 0.0000 0.5000  3.30
Cr 0.5000 0.0000 0.0000  3.46
C 0.5000 0.5000 0.5000  -0.48
Co 0.0000 0.0000 0.0000  -0.14
N 0.0000 0.5000 0.0000  -0.04

## Properties
Uncorrected energy ... -35.49 eV per cell
Density of states at the Fermi level ... 7.1 states/eV/f.u.
Space group ... P4/mmm, No. 123
Size of the total moment ... 6.2 μB per formula unit



Entry 4:
Density functional theory data (GGA-PBE) for a relaxed SrZn2Cd crystal.

Cell lengths 4.3162, 3.9037, 6.2475 Å; angles 71.61, 90.00, 90.00 degrees
Sites, in units of the cell vectors:
Cd 0.0000 0.4816 0.4130
Sr 0.5000 0.7917 0.7946
Zn 0.0000 0.1705 0.0363
Zn 0.5000 0.0563 0.2561

## Properties
Uncorrected energy ... -5.70 eV per cell
Density of states at the Fermi level ... 1.6 states/eV/f.u.
Space group ... Pm, No. 6
Calculated formation energy ... -13.37 kJ/mol of atoms
Size of the total moment ... 0.0 μB per formula unit



Entry 5:
Density functional theory data (GGA-PBE) for a relaxed Cd8GaHg6 crystal.

Cell lengths 7.3857, 7.3857, 9.0940 Å; angles 66.04, 66.04, 60.00 degrees
Sites, in units of the cell vectors:
Cd 0.4189 0.2330 0.4123
Cd 0.7670 0.0642 0.5877
Cd 0.0642 0.5811 0.5877
Cd 0.6970 0.6970 0.9090
Cd 0.3030 0.3030 0.0910
Cd 0.9358 0.4189 0.4123
Cd 0.2330 0.9358 0.4123
Cd 0.5811 0.7670 0.5877
Ga 0.0000 0.0000 0.0000
Hg 0.3139 0.1697 0.8112
Hg 0.8303 0.2947 0.1888
Hg 0.2947 0.6861 0.1888
Hg 0.7053 0.3139 0.8112
Hg 0.1697 0.7053 0.8112
Hg 0.6861 0.8303 0.1888

## Properties
Uncorrected energy ... -11.46 eV per cell
Density of states at the Fermi level ... 5.4 states/eV/f.u.
Space group ... R-3, No. 148
Calculated formation energy ... 4.51 kJ/mol of atoms
Size of the total moment ... 0.0 μB per formula unit
ΔE to the lowest computed polymorph ... 0 kJ/mol of formula units



Entry 6:
Density functional theory data (GGA-PBE) for a relaxed NaTh2Hg4 crystal.

Cell lengths 5.2253, 5.2253, 8.9788 Å; angles 73.08, 73.08, 60.00 degrees
Sites, in units of the cell vectors:
Na 0.0000 0.0000 0.0000
Th 0.7514 0.7514 0.7458
Th 0.2486 0.2486 0.2542
Hg 0.8750 0.8750 0.3749
Hg 0.1250 0.1250 0.6251
Hg 0.6223 0.6223 0.1332
Hg 0.3777 0.3777 0.8668

## Properties
Uncorrected energy ... -17.80 eV per cell
Density of states at the Fermi level ... 5.4 states/eV/f.u.
Space group ... R-3m, No. 166
Calculated formation energy ... -5.92 kJ/mol of atoms
Size of the total moment ... 0.0 μB per formula unit



Entry 7:
Density functional theory data (GGA-PBE) for a relaxed Hf2AgGeW crystal.

Cell lengths 5.0801, 4.8273, 5.0801 Å; angles 90.00, 90.00, 90.00 degrees
Sites, in units of the cell vectors:
Ge 0.0000 0.5000 0.0000
Hf 0.0000 0.0000 0.5000
Hf 0.5000 0.0000 0.0000
Ag 0.5000 0.5000 0.5000
W 0.0000 0.0000 0.0000

## Properties
Uncorrected energy ... -36.28 eV per cell
Density of states at the Fermi level ... 3.3 states/eV/f.u.
Space group ... P4/mmm, No. 123
Calculated formation energy ... 78.08 kJ/mol of atoms
Size of the total moment ... 0.0 μB per formula unit



Entry 8:
Density functional theory data (GGA-PBE) for a relaxed Ce2Pu3Ge2 crystal.

Cell lengths 4.4163, 5.4089, 8.2670 Å; angles 80.90, 116.50, 105.53 degrees
Last column: magnetic moment on the atom in μB.
Sites, in units of the cell vectors:
Ce 0.1238 0.6390 0.8307  -0.98
Ce 0.8762 0.3610 0.1693  -0.98
Pu 0.0000 0.0000 0.0000  -5.45
Pu 0.6852 0.2547 0.4709  -5.55
Pu 0.3148 0.7453 0.5291  -5.55
Ge 0.6037 0.7756 0.2507  0.08
Ge 0.3963 0.2244 0.7493  0.08

## Properties
Uncorrected energy ... -66.32 eV per cell
Density of states at the Fermi level ... 17.5 states/eV/f.u.
Space group ... P-1, No. 2
Calculated formation energy ... -30.57 kJ/mol of atoms
Size of the total moment ... 19.8 μB per formula unit



Entry 9:
Density functional theory data (GGA-PBE) for a relaxed HgRu3N crystal.

Cell lengths 4.1084, 4.1084, 4.1084 Å; angles 90.00, 90.00, 90.00 degrees
Sites, in units of the cell vectors:
Ru 0.0000 0.5000 0.0000
Ru 0.0000 0.0000 0.5000
Ru 0.5000 0.0000 0.0000
Hg 0.5000 0.5000 0.5000
N 0.0000 0.0000 0.0000

## Properties
Uncorrected energy ... -34.60 eV per cell
Density of states at the Fermi level ... 6.3 states/eV/f.u.
Space group ... Pm-3m, No. 221
Size of the total moment ... 0.0 μB per formula unit
ΔE to the lowest computed polymorph ... 0 kJ/mol of formula units



Entry 10:
Density functional theory data (GGA-PBE) for a relaxed BaY crystal.

Cell lengths 11.3199, 19.8158, 6.6035 Å; angles 90.00, 90.00, 90.00 degrees
Last column: magnetic moment on the atom in μB.
Sites, in units of the cell vectors:
Ba 0.3364 0.0000 0.0000  0.04
Ba 0.6636 0.0000 0.0000  0.04
Ba 0.9136 0.7500 0.2500  0.04
Ba 0.5864 0.7500 0.2500  0.04
Ba 0.3364 0.5000 0.5000  0.04
Ba 0.6636 0.5000 0.5000  0.04
Ba 0.9136 0.2500 0.7500  0.04
Ba 0.5864 0.2500 0.7500  0.04
Ba 0.8364 0.0000 0.5000  0.04
Ba 0.1636 0.0000 0.5000  0.04
Ba 0.4136 0.7500 0.7500  0.04
Ba 0.0864 0.7500 0.7500  0.04
Ba 0.8364 0.5000 0.0000  0.04
Ba 0.1636 0.5000 0.0000  0.04
Ba 0.4136 0.2500 0.2500  0.04
Ba 0.0864 0.2500 0.2500  0.04
Y 0.0000 0.9174 0.0000  0.13
Y 0.0000 0.0826 0.0000  0.13
Y 0.2500 0.8326 0.2500  0.13
Y 0.2500 0.6674 0.2500  0.13
Y 0.0000 0.4174 0.5000  0.13
Y 0.0000 0.5826 0.5000  0.13
Y 0.2500 0.3326 0.7500  0.13
Y 0.2500 0.1674 0.7500  0.13
Y 0.5000 0.9174 0.5000  0.13
Y 0.5000 0.0826 0.5000  0.13
Y 0.7500 0.8326 0.7500  0.13
Y 0.7500 0.6674 0.7500  0.13
Y 0.5000 0.4174 0.0000  0.13
Y 0.5000 0.5826 0.0000  0.13
Y 0.7500 0.3326 0.2500  0.13
Y 0.7500 0.1674 0.2500  0.13

## Properties
Uncorrected energy ... -121.08 eV per cell
Density of states at the Fermi level ... 3.6 states/eV/f.u.
Space group ... Fddd, No. 70
Calculated formation energy ... 39.54 kJ/mol of atoms
Size of the total moment ... 0.4 μB per formula unit
ΔE to the lowest computed polymorph ... 48 kJ/mol of formula units



Entry 11:
Density functional theory data (GGA-PBE) for a relaxed Fe2HgIr crystal.

Cell lengths 4.5640, 4.5640, 2.8654 Å; angles 90.00, 90.00, 90.00 degrees
Last column: magnetic moment on the atom in μB.
Sites, in units of the cell vectors:
Fe 0.0000 0.0000 0.0000  2.77
Fe 0.5000 0.5000 0.0000  2.77
Hg 0.5000 0.0000 0.5000  -0.04
Ir 0.0000 0.5000 0.5000  0.55

## Properties
Uncorrected energy ... -24.61 eV per cell
Density of states at the Fermi level ... 5.5 states/eV/f.u.
Space group ... P4/mmm, No. 123
Calculated formation energy ... 35.68 kJ/mol of atoms
Size of the total moment ... 6.1 μB per formula unit



Entry 12:
Density functional theory data (GGA-PBE) for a relaxed Y5Er6Th2 crystal.

Cell lengths 3.5450, 11.4370, 20.6741 Å; angles 90.00, 90.00, 90.00 degrees
Sites, in units of the cell vectors:
Y 0.5000 0.3097 0.4223
Y 0.5000 0.6903 0.5777
Y 0.5000 0.8097 0.0777
Y 0.5000 0.1903 0.9223
Y 0.5000 0.5671 0.2938
Y 0.5000 0.4329 0.7062
Y 0.5000 0.0671 0.2062
Y 0.5000 0.9329 0.7938
Y 0.5000 0.5000 0.0000
Y 0.5000 0.0000 0.5000
Er 0.0000 0.0626 0.3524
Er 0.0000 0.9374 0.6476
Er 0.0000 0.5626 0.1476
Er 0.0000 0.4374 0.8524
Er 0.5000 0.3147 0.1228
Er 0.5000 0.6853 0.8772
Er 0.5000 0.8147 0.3772
Er 0.5000 0.1853 0.6228
Er 0.0000 0.5802 0.4378
Er 0.0000 0.4198 0.5622
Er 0.0000 0.0802 0.0622
Er 0.0000 0.9198 0.9378
Th 0.0000 0.3116 0.2642
Th 0.0000 0.6884 0.7358
Th 0.0000 0.8116 0.2358
Th 0.0000 0.1884 0.7642

## Properties
Uncorrected energy ... -146.27 eV per cell
Density of states at the Fermi level ... 19.6 states/eV/f.u.
Space group ... Pbam, No. 55
Calculated formation energy ... 10.41 kJ/mol of atoms
Size of the total moment ... 0.0 μB per formula unit



Entry 13:
Density functional theory data (GGA-PBE) for a relaxed Tb2PrIn4 crystal.

Cell lengths 4.7123, 4.7123, 9.9707 Å; angles 103.67, 103.67, 90.00 degrees
Sites, in units of the cell vectors:
Pr 0.0000 0.0000 0.0000
Tb 0.7513 0.7513 0.5026
Tb 0.2487 0.2487 0.4974
In 0.3751 0.8751 0.7501
In 0.8751 0.3751 0.7501
In 0.6249 0.1249 0.2499
In 0.1249 0.6249 0.2499

## Properties
Uncorrected energy ... -27.00 eV per cell
Density of states at the Fermi level ... 6.6 states/eV/f.u.
Space group ... I4/mmm, No. 139
Calculated formation energy ... -27.67 kJ/mol of atoms
Size of the total moment ... 0.0 μB per formula unit
ΔE to the lowest computed polymorph ... 0 kJ/mol of formula units



Entry 14:
Density functional theory data (GGA-PBE) for a relaxed SrY6Te8 crystal.

Cell lengths 8.7486, 8.7486, 8.7486 Å; angles 60.00, 60.00, 60.00 degrees
Sites, in units of the cell vectors:
Sr 0.0000 0.0000 0.0000
Y 0.0000 0.5000 0.5000
Y 0.5000 0.0000 0.0000
Y 0.5000 0.5000 0.0000
Y 0.0000 0.0000 0.5000
Y 0.0000 0.5000 0.0000
Y 0.5000 0.0000 0.5000
Te 0.7500 0.7500 0.7500
Te 0.2500 0.2500 0.2500
Te 0.7366 0.2634 0.2634
Te 0.2634 0.7366 0.7366
Te 0.2634 0.2634 0.7366
Te 0.7366 0.7366 0.2634
Te 0.7366 0.2634 0.7366
Te 0.2634 0.7366 0.2634

## Properties
Uncorrected energy ... -86.76 eV per cell
Density of states at the Fermi level ... 5.1 states/eV/f.u.
Space group ... Fm-3m, No. 225
Size of the total moment ... 0.0 μB per formula unit



Entry 15:
Density functional theory data (GGA-PBE) for a relaxed CdCoCu3Se4 crystal.

Cell lengths 5.8035, 5.8035, 5.8035 Å; angles 90.00, 90.00, 90.00 degrees
Last column: magnetic moment on the atom in μB.
Sites, in units of the cell vectors:
Cd 0.5000 0.5000 0.5000  0.02
Co 0.0000 0.0000 0.0000  1.91
Cu 0.0000 0.5000 0.0000  0.10
Cu 0.0000 0.0000 0.5000  0.10
Cu 0.5000 0.0000 0.0000  0.10
Se 0.2360 0.2360 0.2360  0.10
Se 0.7640 0.7640 0.2360  0.10
Se 0.2360 0.7640 0.7640  0.10
Se 0.7640 0.2360 0.7640  0.10

## Properties
Uncorrected energy ... -35.61 eV per cell
Density of states at the Fermi level ... 8.1 states/eV/f.u.
Space group ... P-43m, No. 215
Size of the total moment ... 2.9 μB per formula unit



Entry 16:
Density functional theory data (GGA-PBE) for a relaxed BaAlIn2 crystal.

Cell lengths 5.7005, 5.7005, 5.7005 Å; angles 129.61, 114.40, 87.10 degrees
Sites, in units of the cell vectors:
Al 0.7500 0.2500 0.5000
Ba 0.2500 0.7500 0.5000
In 0.9581 0.9581 0.0000
In 0.5419 0.5419 0.0000

## Properties
Uncorrected energy ... -11.52 eV per cell
Density of states at the Fermi level ... 2.0 states/eV/f.u.
Space group ... Immm, No. 71
Calculated formation energy ... -9.23 kJ/mol of atoms
Size of the total moment ... 0.0 μB per formula unit



Entry 17:
Density functional theory data (GGA-PBE) for a relaxed EuPaH crystal.

Cell lengths 6.5288, 3.3078, 7.4542 Å; angles 102.82, 115.97, 90.00 degrees
Last column: magnetic moment on the atom in μB.
Sites, in units of the cell vectors:
Eu 0.7048 0.2048 0.4097  7.09
Eu 0.2952 0.7952 0.5903  7.09
H 0.1223 0.6223 0.2446  0.00
H 0.8777 0.3777 0.7554  0.00
Pa 0.2165 0.5000 0.0000  0.92
Pa 0.7835 0.5000 0.0000  0.92

## Properties
Uncorrected energy ... -44.32 eV per cell
Density of states at the Fermi level ... 5.5 states/eV/f.u.
Space group ... Immm, No. 71
Size of the total moment ... 8.9 μB per formula unit



Entry 18:
Density functional theory data (GGA-PBE) for a relaxed BaY2Ir2 crystal.

Cell lengths 5.1679, 5.1679, 6.7096 Å; angles 67.35, 67.35, 90.00 degrees
Sites, in units of the cell vectors:
Y 0.3328 0.3328 0.3345
Y 0.6672 0.6672 0.6655
Ir 0.7500 0.2500 0.5000
Ir 0.2500 0.7500 0.5000
Ba 0.0000 0.0000 0.0000

## Properties
Uncorrected energy ... -33.67 eV per cell
Density of states at the Fermi level ... 2.6 states/eV/f.u.
Space group ... I4/mmm, No. 139
Calculated formation energy ... -21.22 kJ/mol of atoms
Size of the total moment ... 0.0 μB per formula unit
ΔE to the lowest computed polymorph ... 152 kJ/mol of formula units



Entry 19:
Density functional theory data (GGA-PBE) for a relaxed NaCd3Au3 crystal.

Cell lengths 7.7047, 7.7047, 7.7047 Å; angles 90.00, 90.00, 90.00 degrees
Sites, in units of the cell vectors:
Na 0.5000 0.5000 0.5000
Na 0.0000 0.0000 0.0000
Au 0.2500 0.0000 0.5000
Au 0.0000 0.5000 0.2500
Au 0.5000 0.7500 0.0000
Au 0.7500 0.0000 0.5000
Au 0.0000 0.5000 0.7500
Au 0.5000 0.2500 0.0000
Cd 0.0000 0.2500 0.5000
Cd 0.0000 0.7500 0.5000
Cd 0.5000 0.0000 0.7500
Cd 0.7500 0.5000 0.0000
Cd 0.5000 0.0000 0.2500
Cd 0.2500 0.5000 0.0000

## Properties
Uncorrected energy ... -26.51 eV per cell
Density of states at the Fermi level ... 2.9 states/eV/f.u.
Space group ... Pm-3n, No. 223
Calculated formation energy ... 8.85 kJ/mol of atoms
Size of the total moment ... 0.0 μB per formula unit
ΔE to the lowest computed polymorph ... 169 kJ/mol of formula units



Entry 20:
Density functional theory data (GGA-PBE) for a relaxed HoTlPdAu crystal.

Cell lengths 4.9115, 4.9115, 4.9115 Å; angles 60.00, 60.00, 60.00 degrees
Sites, in units of the cell vectors:
Tl 0.5000 0.5000 0.5000
Au 0.2500 0.2500 0.2500
Ho 0.0000 0.0000 0.0000
Pd 0.7500 0.7500 0.7500

## Properties
Uncorrected energy ... -17.75 eV per cell
Density of states at the Fermi level ... 2.1 states/eV/f.u.
Space group ... F-43m, No. 216
Calculated formation energy ... -56.27 kJ/mol of atoms
Size of the total moment ... 0.0 μB per formula unit